! YSc5Ni4 (GGA-PBE, optimized geometry); values from VASP
! Space-group type: P4/mmm, No. 123
! ΔH_f (0 K), eV per atom: -0.38
&SYSTEM
  ibrav = 0, nat = 10, ntyp = 3
/
ATOMIC_SPECIES
Sc 44.96 Sc.upf
Ni 58.69 Ni.upf
Y 88.91 Y.upf
CELL_PARAMETERS angstrom
3.207 0.000 0.000
0.000 3.207 0.000
0.000 0.000 17.820
ATOMIC_POSITIONS crystal
Sc 0.500 0.500 0.676
Sc 0.500 0.500 0.150
Sc 0.500 0.500 0.324
Sc 0.500 0.500 0.500
Sc 0.500 0.500 0.850
Ni 0.000 0.000 0.588
Ni 0.000 0.000 0.235
Ni 0.000 0.000 0.765
Ni 0.000 0.000 0.412
Y 0.000 0.000 0.000

---

! BaNa3I (GGA-PBE, optimized geometry); values from VASP
! Space-group type: Pm-3m, No. 221
! Formation energy (no corrections), meV per atom: -221
! Polymorph energy (0 for the lowest one), meV/atom: 0
&SYSTEM
  ibrav = 0, nat = 5, ntyp = 3
/
ATOMIC_SPECIES
Na 22.99 Na.upf
I 126.90 I.upf
Ba 137.33 Ba.upf
CELL_PARAMETERS angstrom
6.284 0.000 0.000
0.000 6.284 0.000
0.000 0.000 6.284
ATOMIC_POSITIONS crystal
Na 0.500 0.000 0.000
Na 0.000 0.500 0.000
Na 0.000 0.000 0.500
I 0.000 0.000 0.000
Ba 0.500 0.500 0.500

---

! AlV3Cr3 (GGA-PBE, optimized geometry); values from VASP
! Space-group type: R-3, No. 148
! ΔH_f (0 K), eV per atom: 0.26
&SYSTEM
  ibrav = 0, nat = 14, ntyp = 3
/
ATOMIC_SPECIES
Cr 52.00 Cr.upf
V 50.94 V.upf
Al 26.98 Al.upf
CELL_PARAMETERS angstrom
5.823 0.359 2.415
1.743 5.567 2.415
0.459 0.359 6.287
ATOMIC_POSITIONS crystal
Cr 0.289 0.834 0.060
Cr 0.834 0.060 0.289
Cr 0.166 0.940 0.711
Cr 0.711 0.166 0.940
Cr 0.940 0.711 0.166
Cr 0.060 0.289 0.834
V 0.270 0.424 0.943
V 0.057 0.730 0.576
V 0.943 0.270 0.424
V 0.576 0.057 0.730
V 0.730 0.576 0.057
V 0.424 0.943 0.270
Al 0.644 0.644 0.644
Al 0.356 0.356 0.356

---

! Ce2ErHf (GGA-PBE, optimized geometry); values from VASP
! Space-group type: Fm-3m, No. 225
! ΔH_f (0 K), eV per atom: 0.27
! Polymorph energy (0 for the lowest one), meV/atom: 139
&SYSTEM
  ibrav = 0, nat = 4, ntyp = 3
/
ATOMIC_SPECIES
Hf 178.49 Hf.upf
Ce 140.12 Ce.upf
Er 167.26 Er.upf
CELL_PARAMETERS angstrom
5.385 0.000 0.000
2.693 4.664 0.000
2.693 1.555 4.397
ATOMIC_POSITIONS crystal
Hf 0.500 0.500 0.500
Ce 0.250 0.250 0.250
Ce 0.750 0.750 0.750
Er 0.000 0.000 0.000

---

! NbPbI2 (GGA-PBE, optimized geometry); values from VASP
! Space-group type: I-42d, No. 122
! Formation energy (no corrections), meV per atom: 202
! Polymorph energy (0 for the lowest one), meV/atom: 0
&SYSTEM
  ibrav = 0, nat = 8, ntyp = 3
/
ATOMIC_SPECIES
Nb 92.91 Nb.upf
I 126.90 I.upf
Pb 207.20 Pb.upf
CELL_PARAMETERS angstrom
-4.941 6.720 5.724
-7.783 -6.412 0.811
-5.175 -0.987 5.632
ATOMIC_POSITIONS crystal
Nb 0.500 0.500 0.000
Nb 0.250 0.750 0.500
I 0.875 0.738 0.750
I 0.262 0.625 0.250
I 0.488 0.125 0.250
I 0.375 0.512 0.750
Pb 0.000 0.000 0.000
Pb 0.750 0.250 0.500

---

! NaSmTl2I6 (GGA-PBE, optimized geometry); values from VASP
! Space-group type: R3, No. 146
! Formation energy (no corrections), meV per atom: -1074
&SYSTEM
  ibrav = 0, nat = 10, ntyp = 4
/
ATOMIC_SPECIES
Tl 204.38 Tl.upf
I 126.90 I.upf
Sm 150.36 Sm.upf
Na 22.99 Na.upf
CELL_PARAMETERS angstrom
-3.533 0.862 7.699
4.545 -1.725 6.990
2.564 6.599 5.150
ATOMIC_POSITIONS crystal
Tl 0.022 0.022 0.934
Tl 0.528 0.528 0.416
I 0.457 0.676 0.767
I 0.181 0.980 0.263
I 0.980 0.575 0.264
I 0.099 0.457 0.768
I 0.575 0.181 0.264
I 0.676 0.099 0.768
Sm 0.324 0.324 0.028
Na 0.819 0.819 0.544

---

Number 1: D(E_F) 11.4 states/eV per cell, calculated volume 18.33 Å³/atom. Number 2: D(E_F) 2.8 states/eV per cell, calculated volume 49.62 Å³/atom. Number 3: D(E_F) 17.5 states/eV per cell, calculated volume 13.61 Å³/atom. Number 4: D(E_F) 12.2 states/eV per cell, calculated volume 27.61 Å³/atom. Number 5: D(E_F) 11.1 states/eV per cell, calculated volume 36.87 Å³/atom. Number 6: D(E_F) 0.0 states/eV per cell, calculated volume 45.46 Å³/atom.